First-principles (PBE) data for a relaxed NaZnBr3 crystal, as listed in Alexandria via LeMat-Bulk.

Output
As for the uncorrected formation energy: -1131 meV per atom. The density comes out at 3.3 g cm⁻³.

abc: 7.4393 9.9288 9.9288
angles: 82.48 71.50 71.50
Positions (direct):
Na (0.7500, 0.9008, 0.0992)
Na (0.7500, 0.2575, 0.7425)
Na (0.2500, 0.7425, 0.2575)
Na (0.2500, 0.0992, 0.9008)
Zn (0.6648, 0.3765, 0.2091)
Zn (0.1648, 0.2091, 0.3765)
Zn (0.8352, 0.7909, 0.6235)
Zn (0.3352, 0.6235, 0.7909)
Br (0.8179, 0.1960, 0.0323)
Br (0.3179, 0.0323, 0.1960)
Br (0.6756, 0.6136, 0.1302)
Br (0.7979, 0.2965, 0.4147)
Br (0.1756, 0.1302, 0.6136)
Br (0.2979, 0.4147, 0.2965)
Br (0.7021, 0.5853, 0.7035)
Br (0.8244, 0.8698, 0.3864)
Br (0.2021, 0.7035, 0.5853)
Br (0.3244, 0.3864, 0.8698)
Br (0.6821, 0.9677, 0.8040)
Br (0.1821, 0.8040, 0.9677)


First-principles (PBE) data for a relaxed Na2ZnBr crystal, as listed in Alexandria via LeMat-Bulk.

Output
As for the uncorrected formation energy: -438 meV per atom. The density comes out at 2.9 g cm⁻³.

abc: 5.3729 5.3729 5.3729
angles: 60.00 60.00 60.00
Positions (direct):
Na (0.2500, 0.2500, 0.2500)
Na (0.7500, 0.7500, 0.7500)
Zn (0.0000, 0.0000, 0.0000)
Br (0.5000, 0.5000, 0.5000)


First-principles (PBE) data for a relaxed NaZrBr4 crystal, as listed in Alexandria via LeMat-Bulk.

Output
As for the uncorrected formation energy: -1212 meV per atom. The density comes out at 3.0 g cm⁻³.

abc: 7.3808 7.3808 6.8408
angles: 122.65 122.65 90.00
Positions (direct):
Na (0.7500, 0.2500, 0.5000)
Zr (0.5000, 0.5000, 0.0000)
Br (0.3790, 0.8382, 0.2227)
Br (0.8437, 0.3845, 0.2227)
Br (0.1618, 0.1563, 0.7773)
Br (0.6155, 0.6210, 0.7773)


no.,total magnetization (μB/f.u.),ΔE to the lowest computed polymorph (meV per atom),Fermi-level density of states (states/eV/f.u.)
1,0.0,0,0.0
2,0.0,25,1.6
3,1.0,158,0.6